(1)
The following is a PBE-GGA calculation of CsNaNpN3 after structural relaxation, from Alexandria.

Computed properties:
* formation energy (no corrections): -41 kJ/mol of atoms
* space group: C2/c (15)

abc: 6.1858 6.2916 7.0143
angles: 63.35 88.37 86.36
Atoms (fractional coordinates):
Cs  0.2500  0.2609  0.4781
Cs  0.7500  0.7391  0.5219
Na  0.2500  0.5726  0.8547
Na  0.7500  0.4274  0.1453
Np  0.7500  0.0617  0.8766
Np  0.2500  0.9383  0.1234
N  0.5201  0.8392  0.9313
N  0.9799  0.2295  0.9313
N  0.7500  0.2135  0.5730
N  0.4799  0.1608  0.0687
N  0.0201  0.7705  0.0687
N  0.2500  0.7865  0.4270

---

(2)
The following is a PBE-GGA calculation of InHg2Pd2 after structural relaxation, from Alexandria.

Computed properties:
* formation enthalpy at 0 K: 0.0346 eV per atom
* space group: I4/mmm (139)
* DOS(E_F): 1.95 states/eV/f.u.
* offset from the most stable computed form: 0.237 eV per atom

abc: 4.0030 4.0030 7.4264
angles: 74.36 74.36 90.00
Atoms (fractional coordinates):
Hg  0.3915  0.3915  0.2171
Hg  0.6085  0.6085  0.7829
Pd  0.7500  0.2500  0.5000
Pd  0.2500  0.7500  0.5000
In  0.0000  0.0000  0.0000

---

Calculated calculated volume in order - 122; 110 Å³/f.u.
Calculated raw total energy in order - -7.10; -2.71 eV per atom